Tc2AgAs after structural relaxation. Source: Alexandria via LeMat-Bulk, functional GGA-PBE.

Properties
* total magnetization: 0.000 μB per atom
* formation energy: 16.5 kJ per mole of atoms
* space group: No. 160

Cell and atoms, written as extended XYZ:
```
4
Lattice="-6.7325 -3.1314 5.7165 -5.9324 -5.6236 4.5818 -4.5244 -4.5592 6.8231" Properties=species:S:1:pos:R:3 pbc="T T T"
As -12.7308 -9.8608 12.6805
Tc -17.1697 -13.2991 17.1019
Tc -4.4317 -3.4326 4.4141
Ag -8.6411 -6.6931 8.6069
```